DFT (PBE) results for crystalline TcRh5 at its relaxed geometry.

```
data_TcRh5
_chemical_formula_sum 'Tc1 Rh5'
_cell_length_a 6.0687
_cell_length_b 6.0687
_cell_length_c 3.8510
_cell_angle_alpha 90.00
_cell_angle_beta 90.00
_cell_angle_gamma 143.10
_space_group_name_H-M_alt 'P 1'
_space_group_IT_number 1
loop_
_space_group_symop_operation_xyz
'x,y,z'
loop_
_atom_site_label
_atom_site_type_symbol
_atom_site_fract_x
_atom_site_fract_y
_atom_site_fract_z
Tc1 Tc 0.0000 0.0000 0.0000
Rh1 Rh 0.1653 0.8347 0.5000
Rh2 Rh 0.3388 0.6612 0.0000
Rh3 Rh 0.5000 0.5000 0.5000
Rh4 Rh 0.6612 0.3388 0.0000
Rh5 Rh 0.8347 0.1653 0.5000
```

Properties
Energy relative to the lowest polymorph listed for this composition   0.000 eV/atom
Formation enthalpy at 0 K   -63.0 meV/atom
Calculated volume   85.2 Å³ per cell
Total energy   -47.50 eV for the cell shown
SG   Cmmm (65)
Fermi-level density of states   6.286 states/eV/cell
M_tot   0.0 μB per formula unit